1.
# ZrNi5Ge2

Crystalline ZrNi5Ge2 at its relaxed geometry (PBE-GGA, Alexandria via LeMat-Bulk).

```
ZrNi5Ge2
1.0
3.4963 0.0000 0.0000
0.0000 6.6957 0.0000
0.0000 0.0000 9.2466
Zr Ni Ge
2 10 4
direct
0.0000 0.0000 0.0000
0.5000 0.5000 0.5000
0.0000 0.1933 0.3639
0.0000 0.1933 0.6361
0.0000 0.5000 0.0000
0.0000 0.8067 0.3639
0.0000 0.8067 0.6361
0.5000 0.0000 0.5000
0.5000 0.3067 0.1361
0.5000 0.3067 0.8639
0.5000 0.6933 0.1361
0.5000 0.6933 0.8639
0.0000 0.5000 0.2525
0.0000 0.5000 0.7475
0.5000 0.0000 0.2475
0.5000 0.0000 0.7525
```

## Properties
* total energy: -6.200 eV per atom


2.
# NpTlSe3S

Crystalline NpTlSe3S at its relaxed geometry (PBE-GGA, Alexandria via LeMat-Bulk).

```
NpTlSe3S
1.0
8.8201 0.0000 0.0000
0.0000 4.0520 0.0000
-3.6630 0.0000 9.6273
Np Tl Se S
2 2 6 2
direct
0.1781 0.2500 0.1802
0.8219 0.7500 0.8198
0.2268 0.7500 0.6783
0.7732 0.2500 0.3217
0.0625 0.2500 0.8786
0.1523 0.2500 0.4326
0.3783 0.7500 0.1040
0.6217 0.2500 0.8960
0.8477 0.7500 0.5674
0.9375 0.7500 0.1214
0.3773 0.7500 0.3194
0.6227 0.2500 0.6806
```

## Properties
* ΔE_f (raw): -0.66 eV/atom


3.
# Tc3SnN

Crystalline Tc3SnN at its relaxed geometry (PBE-GGA, Alexandria via LeMat-Bulk).

```
Tc3SnN
1.0
4.8256 0.0000 0.0000
0.9692 5.2742 0.0000
2.0145 -0.0306 5.9757
Tc Sn N
6 2 2
direct
0.0000 0.0000 0.0000
0.0054 0.6501 0.3330
0.4553 0.8740 0.1584
0.5987 0.3676 0.2390
0.9275 0.5120 0.7764
0.9385 0.1382 0.4554
0.4428 0.8211 0.6123
0.4589 0.2761 0.8570
0.2059 0.3699 0.4817
0.8624 0.6494 0.0744
```

## Properties
* excess energy over the best structure of this formula in the dataset: 8.0 kJ per mole of atoms
* ΔE_f (raw): 0.13 eV/atom


4.
# SrCaAgIr

Crystalline SrCaAgIr at its relaxed geometry (PBE-GGA, Alexandria via LeMat-Bulk).

```
SrCaAgIr
1.0
7.2769 0.0000 0.0000
0.0000 7.2769 0.0000
0.0000 0.0000 7.2769
Sr Ca Ag Ir
4 4 4 4
direct
0.0000 0.0000 0.0000
0.0000 0.5000 0.5000
0.5000 0.0000 0.5000
0.5000 0.5000 0.0000
0.0000 0.0000 0.5000
0.0000 0.5000 0.0000
0.5000 0.0000 0.0000
0.5000 0.5000 0.5000
0.2500 0.2500 0.2500
0.2500 0.7500 0.7500
0.7500 0.2500 0.7500
0.7500 0.7500 0.2500
0.2500 0.2500 0.7500
0.2500 0.7500 0.2500
0.7500 0.2500 0.2500
0.7500 0.7500 0.7500
```

## Properties
* total energy: -4.030 eV per atom


5.
# TaSi2

Crystalline TaSi2 at its relaxed geometry (PBE-GGA, Alexandria via LeMat-Bulk).

```
TaSi2
1.0
7.0648 0.0000 0.0000
-3.5324 6.1183 0.0000
0.0000 0.0000 3.3928
Ta Si
3 6
direct
0.0000 0.0000 0.0000
0.3333 0.6667 0.5000
0.6667 0.3333 0.5000
0.0000 0.2722 0.5000
0.0000 0.6173 0.0000
0.2722 0.0000 0.5000
0.3827 0.3827 0.0000
0.6173 0.0000 0.0000
0.7278 0.7278 0.5000
```

## Properties
* ΔE_f (raw): 0.16 eV/atom


6.
# La2YPt

Crystalline La2YPt at its relaxed geometry (PBE-GGA, Alexandria via LeMat-Bulk).

```
La2YPt
1.0
3.7853 0.0000 0.0000
0.0000 3.7853 0.0000
0.0000 0.0000 8.3282
La Y Pt
2 1 1
direct
0.0000 0.0000 0.2014
0.0000 0.0000 0.7986
0.5000 0.5000 0.5000
0.5000 0.5000 0.0000
```

## Properties
* excess energy over the best structure of this formula in the dataset: 15.1 kJ per mole of atoms


7.
# Nd8DySc5

Crystalline Nd8DySc5 at its relaxed geometry (PBE-GGA, Alexandria via LeMat-Bulk).

```
Nd8DySc5
1.0
-4.7146 4.7146 5.0359
4.7146 -4.7146 5.0359
4.7146 4.7146 -5.0359
Nd Dy Sc
8 1 5
direct
0.1738 0.4041 0.5789
0.3307 0.2267 0.2400
0.4051 0.8262 0.2303
0.5959 0.1748 0.7697
0.7733 0.0132 0.1039
0.8252 0.5949 0.4211
0.9093 0.6693 0.8961
0.9868 0.0907 0.7600
0.5000 0.5000 0.0000
0.0721 0.4822 0.1960
0.1239 0.9279 0.4101
0.2862 0.8761 0.8040
0.5178 0.7138 0.5899
0.7500 0.2500 0.5000
```

## Properties
* total energy: -5.052 eV per atom


8.
# SrScHg2

Crystalline SrScHg2 at its relaxed geometry (PBE-GGA, Alexandria via LeMat-Bulk).

```
SrScHg2
1.0
5.3366 0.0000 0.0000
0.0000 5.3366 0.0000
0.0000 0.0000 3.7094
Sr Sc Hg
1 1 2
direct
0.0000 0.0000 0.0000
0.5000 0.5000 0.0000
0.0000 0.5000 0.5000
0.5000 0.0000 0.5000
```

## Properties
* total energy: -2.519 eV per atom


9.
# CuAgHgF6

Crystalline CuAgHgF6 at its relaxed geometry (PBE-GGA, Alexandria via LeMat-Bulk).

```
CuAgHgF6
1.0
5.0733 0.0000 0.0000
0.0000 5.0733 0.0000
0.0000 0.0000 10.3418
Cu Ag Hg F
2 2 2 12
direct
0.0000 0.0000 0.0000
0.5000 0.5000 0.5000
0.0000 0.0000 0.6628
0.5000 0.5000 0.1628
0.0000 0.0000 0.3345
0.5000 0.5000 0.8345
0.1818 0.1818 0.8538
0.1844 0.1844 0.1430
0.2254 0.2254 0.5012
0.2746 0.7254 0.0012
0.3156 0.6844 0.6430
0.3182 0.6818 0.3538
0.6818 0.3182 0.3538
0.6844 0.3156 0.6430
0.7254 0.2746 0.0012
0.7746 0.7746 0.5012
0.8156 0.8156 0.1430
0.8182 0.8182 0.8538
```

## Properties
* ΔE_f (raw): -1.36 eV/atom


10.
# EuSnP

Crystalline EuSnP at its relaxed geometry (PBE-GGA, Alexandria via LeMat-Bulk).

```
EuSnP
1.0
4.2751 0.0000 0.0000
0.0000 4.2751 0.0000
0.0000 0.0000 8.7484
Eu Sn P
2 2 2
direct
0.2500 0.2500 0.1687
0.7500 0.7500 0.8313
0.2500 0.2500 0.5507
0.7500 0.7500 0.4493
0.2500 0.2500 0.8368
0.7500 0.7500 0.1632
```

## Properties
* excess energy over the best structure of this formula in the dataset: 0.0 kJ per mole of atoms


11.
# HoIn2AgBr6

Crystalline HoIn2AgBr6 at its relaxed geometry (PBE-GGA, Alexandria via LeMat-Bulk).

```
HoIn2AgBr6
1.0
7.5702 0.0000 0.0000
0.0000 8.0526 0.0000
-7.3478 0.0000 10.8427
Ho In Ag Br
2 4 2 12
direct
0.0000 0.0000 0.0000
0.0000 0.5000 0.5000
0.2854 0.0850 0.7576
0.2854 0.4150 0.2576
0.7146 0.5850 0.7424
0.7146 0.9150 0.2424
0.5000 0.0000 0.5000
0.5000 0.5000 0.0000
0.1427 0.0230 0.2484
0.1427 0.4770 0.7484
0.2352 0.7069 0.0507
0.2352 0.7931 0.5507
0.3497 0.1879 0.0468
0.3497 0.3121 0.5468
0.6503 0.6879 0.4532
0.6503 0.8121 0.9532
0.7648 0.2069 0.4493
0.7648 0.2931 0.9493
0.8573 0.5230 0.2516
0.8573 0.9770 0.7516
```

## Properties
* ΔE_f (raw): -1.07 eV/atom


12.
# LaGaSi2P

Crystalline LaGaSi2P at its relaxed geometry (PBE-GGA, Alexandria via LeMat-Bulk).

```
LaGaSi2P
1.0
4.7316 0.0000 0.0000
0.0000 4.7316 0.0000
0.0000 0.0000 4.9726
La Ga Si P
1 1 2 1
direct
0.0000 0.0000 0.0000
0.5000 0.5000 0.5000
0.0000 0.5000 0.5000
0.5000 0.0000 0.5000
0.5000 0.5000 0.0000
```

## Properties
* ΔE_f (raw): 0.16 eV/atom